Record 1
ZrScCu2 | PBEsol | relaxed

extended XYZ file:
```
4
Lattice="4.549 0.000 0.000 2.274 3.939 0.000 2.274 1.313 3.714" Properties=species:S:1:pos:R:3 pbc="T T T"
Sc 0.000 0.000 0.000
Cu 6.823 3.939 2.786
Cu 2.274 1.313 0.929
Zr 4.549 2.626 1.857
```

distance to the lowest polymorph of the same formula: 0.0135 eV per atom
space-group type: Fm-3m
ΔE_f: -0.1652 eV per atom
E_tot: -25.02 eV for the cell shown

***

Record 2
Ni6PtW | PBEsol | relaxed

extended XYZ file:
```
32
Lattice="6.214 0.006 0.000 -2.071 5.859 0.000 0.000 0.000 10.166" Properties=species:S:1:pos:R:3 pbc="T T T"
Ni 4.112 3.637 3.779
Ni 0.005 2.216 8.927
Ni 2.089 0.774 6.388
Ni 4.112 3.637 6.388
Ni 2.089 0.774 3.779
Ni 0.005 2.216 1.240
Ni 2.087 0.745 1.240
Ni 2.072 2.932 0.000
Ni 2.054 5.091 6.388
Ni 4.138 3.648 8.927
Ni 2.072 2.932 5.083
Ni 4.122 1.484 7.686
Ni 0.021 4.381 7.686
Ni 4.138 3.648 1.240
Ni 2.056 5.119 8.927
Ni 0.000 0.000 0.000
Ni 2.054 5.091 3.779
Ni 0.031 2.228 3.779
Ni 0.021 4.381 2.480
Ni 2.087 0.745 8.927
Ni 2.056 5.119 1.240
Ni 0.000 0.000 5.083
Ni 0.031 2.228 6.388
Ni 4.122 1.484 2.480
Pt -0.008 4.401 5.083
Pt 0.000 0.000 7.593
Pt 0.000 0.000 2.574
Pt 4.151 1.463 5.083
W 4.119 1.486 0.000
W 0.024 4.379 0.000
W 2.072 2.932 7.573
W 2.072 2.932 2.593
```

space-group type: Cmmm
ΔE_f: -0.0726 eV per atom
E_tot: -233.19 eV for the cell shown